# LiMn2BO4

A relaxed LiMn2BO4 crystal (PBE with a Hubbard U, Alexandria via LeMat-Bulk).

POSCAR file:
```
LiMn2BO4
1.0
4.611 0.191 0.000
-0.192 4.611 0.000
-2.209 -2.401 4.090
B O Mn Li
1 4 2 1
Direct
0.500 0.500 0.000 B
0.409 0.795 0.204 O
0.795 0.409 0.204 O
0.205 0.205 0.797 O
0.591 0.591 0.797 O
0.250 0.750 0.500 Mn
0.750 0.250 0.500 Mn
0.000 0.000 0.000 Li
```

total DFT energy (no corrections): -7.336 eV per atom
size of the total moment: 1.250 μB per atom
theoretical density: 3.65 g/cm3
calculated volume: 87.1 Å³/cell